# 1
CoHgRhC2 (SCAN, single point on PBEsol structure); ΔE_f = 15.8 eV per formula unit
1.0
-3.1311 -2.0879 1.4818
2.4164 -3.1836 0.6202
1.0053 1.6220 4.4096
Co C Rh Hg
1 2 1 1
Cartesian
0.5026 0.8110 2.2048 Co
1.2082 -1.5918 0.3101 C
-1.5656 -1.0439 0.7409 C
0.1453 -1.8248 3.2558 Rh
0.0000 0.0000 0.0000 Hg



# 2
CoC2I (SCAN, single point on PBEsol structure); raw total energy = -135.2 eV per cell
1.0
-1.1729 -1.2010 4.8496
5.5425 0.4102 -1.2733
2.4394 4.2096 1.6325
I C Co
2 4 2
Cartesian
3.7211 2.4616 4.2249 I
0.0000 0.0000 0.0000 I
4.4945 1.2953 2.0436 C
5.9888 3.6813 1.7243 C
1.5597 1.1231 4.7284 C
1.5750 0.7379 1.9213 C
3.0879 0.9572 0.9839 Co
0.6332 1.5043 3.2410 Co



# 3
CoCI2 (SCAN, single point on PBEsol structure); excess energy over the best structure of this formula in the dataset = 0.0 meV/atom
1.0
5.5347 0.0000 0.0000
0.0000 5.5347 0.0000
-2.7673 -2.7673 5.6744
I C Co
4 2 2
Cartesian
1.3546 4.1510 1.4186 I
4.1801 1.3837 1.4186 I
-1.3837 -1.4128 4.2558 I
1.3837 1.4128 4.2558 I
2.7673 0.0000 2.8372 C
2.7673 2.7673 0.0000 C
0.0000 2.7673 2.8372 Co
0.0000 0.0000 0.0000 Co



# 4
CoCI2 (SCAN, single point on PBEsol structure); excess energy over the best structure of this formula in the dataset = 378.4 meV/atom
1.0
-0.5146 -4.6092 -0.2096
0.9342 -2.6117 3.7229
-3.4560 -2.0577 2.3184
I C Co
2 1 1
Cartesian
-0.7591 -2.3196 1.4579 I
-2.2773 -6.9589 4.3738 I
0.0000 0.0000 0.0000 C
-1.5182 -4.6393 2.9159 Co



Calculated Fermi-level density of states, 6.27, 2.80, 5.50, 2.98 states/eV/cell (same order as the records).